Below is a relaxed structure of LaNbBr3, with properties calculated at the PBE level.

Properties
The total moment is 0.00 Bohr magnetons per cell. The total energy is -4.306 eV/atom. As for the crystal system: cubic. The energy above the most stable polymorph in this dataset comes out at 0.000 eV/atom.

a b c (Å): 5.142 5.142 5.142
angles (deg): 90.00 90.00 90.00
Fractional coordinates of all 5 atoms:
La 0.000 0.000 0.000
Nb 0.500 0.500 0.500
Br 0.000 0.500 0.500
Br 0.500 0.000 0.500
Br 0.500 0.500 0.000